VASP calculation (GGA-PBE) on an optimized crystal structure of Ba2OsN3.

a b c (Å): 6.111 6.111 7.670
angles (deg): 90.00 90.00 59.93
Fractional positions:
Ba: 0.166 0.166 0.000
Ba: 0.166 0.166 0.500
Ba: 0.834 0.834 0.000
Ba: 0.834 0.834 0.500
Os: 0.500 0.500 0.250
Os: 0.500 0.500 0.750
N: 0.201 0.799 0.750
N: 0.203 0.500 0.250
N: 0.500 0.203 0.750
N: 0.500 0.797 0.250
N: 0.797 0.500 0.750
N: 0.799 0.201 0.250

Summary:
The value obtained for the raw formation energy is -0.3011 eV/atom. The value obtained for the electronic total energy is -6.976 eV/atom. The value obtained for the density of states at the Fermi level is 7.7 states/eV/cell. The calculation puts the total moment at 0.00 Bohr magnetons per cell.

***

VASP calculation (GGA-PBE) on an optimized crystal structure of Ca2SnPd2Au5.

a b c (Å): 9.850 9.850 4.236
angles (deg): 90.00 90.00 90.00
Fractional positions:
Ca: 0.172 0.328 0.000
Ca: 0.328 0.828 0.000
Ca: 0.672 0.172 0.000
Ca: 0.828 0.672 0.000
Sn: 0.000 0.000 0.000
Sn: 0.500 0.500 0.000
Pd: 0.125 0.625 0.000
Pd: 0.375 0.125 0.000
Pd: 0.625 0.875 0.000
Pd: 0.875 0.375 0.000
Au: 0.000 0.500 0.500
Au: 0.063 0.795 0.500
Au: 0.205 0.063 0.500
Au: 0.295 0.563 0.500
Au: 0.437 0.295 0.500
Au: 0.500 0.000 0.500
Au: 0.563 0.705 0.500
Au: 0.705 0.437 0.500
Au: 0.795 0.937 0.500
Au: 0.937 0.205 0.500

Summary:
Its formation energy is -5.3 eV per formula unit. The value obtained for the electronic total energy is -4.010 eV/atom. The value obtained for the density of states at the Fermi level is 6.7 states/eV/cell. The calculation puts the total moment at 0.00 Bohr magnetons per cell.

***

VASP calculation (GGA-PBE) on an optimized crystal structure of Li4YTh3Te8.

a b c (Å): 8.811 8.811 8.811
angles (deg): 58.56 58.56 58.56
Fractional positions:
Li: 0.000 0.000 0.000
Li: 0.000 0.500 0.500
Li: 0.500 0.000 0.500
Li: 0.500 0.500 0.000
Y: 0.500 0.500 0.500
Th: 0.000 0.000 0.500
Th: 0.000 0.500 0.000
Th: 0.500 0.000 0.000
Te: 0.248 0.248 0.739
Te: 0.248 0.739 0.248
Te: 0.257 0.257 0.257
Te: 0.261 0.752 0.752
Te: 0.739 0.248 0.248
Te: 0.743 0.743 0.743
Te: 0.752 0.261 0.752
Te: 0.752 0.752 0.261

Summary:
The value obtained for the raw formation energy is -1.1345 eV/atom. The value obtained for the electronic total energy is -4.979 eV/atom. The value obtained for the density of states at the Fermi level is 7.6 states/eV/cell. The calculation puts the total moment at 0.00 Bohr magnetons per cell.

***

VASP calculation (GGA-PBE) on an optimized crystal structure of Na4CrIr3S8.

a b c (Å): 7.589 7.589 7.589
angles (deg): 57.47 57.47 57.47
Fractional positions:
Na: 0.000 0.000 0.000
Na: 0.000 0.500 0.500
Na: 0.500 0.000 0.500
Na: 0.500 0.500 0.000
Cr: 0.500 0.500 0.500
Ir: 0.000 0.000 0.500
Ir: 0.000 0.500 0.000
Ir: 0.500 0.000 0.000
S: 0.227 0.732 0.732
S: 0.228 0.228 0.228
S: 0.268 0.268 0.773
S: 0.268 0.773 0.268
S: 0.732 0.227 0.732
S: 0.732 0.732 0.227
S: 0.772 0.772 0.772
S: 0.773 0.268 0.268

Summary:
The value obtained for the raw formation energy is -0.7238 eV/atom. The value obtained for the electronic total energy is -5.380 eV/atom. The calculation puts the total moment at 2.99 Bohr magnetons per cell.